1.
A relaxed PuNbOs crystal, computed with PBE-GGA.

Properties
The value obtained for the energy relative to the elements is 27 kJ/mol of atoms. The crystal system is cubic. The energy relative to the lowest polymorph listed for this composition is 0.000 eV/atom. The total magnetization is 1.72 μB/atom.

a = 4.441 Å, b = 4.441 Å, c = 4.441 Å
α = 60.00°, β = 60.00°, γ = 60.00°
Fractional positions:
Os: 0.000 0.000 0.000
Pu: 0.750 0.750 0.750
Nb: 0.250 0.250 0.250

***

2.
A relaxed Cu2Br5 crystal, computed with PBE-GGA.

Properties
The crystal system is triclinic. For the raw total energy, the calculation gives -2.378 eV/atom.

a = 4.968 Å, b = 6.349 Å, c = 6.376 Å
α = 96.86°, β = 98.62°, γ = 104.79°
Fractional positions:
Br: 0.500 0.500 0.500
Br: 0.125 0.881 0.324
Br: 0.787 0.272 0.143
Br: 0.875 0.119 0.676
Br: 0.213 0.728 0.857
Cu: 0.000 0.500 0.500
Cu: 0.000 0.000 0.000